## CaDy3Bi3 (PBE-GGA)

Data for CaDy3Bi3 after structural relaxation.

abc: 8.2456 8.2456 8.2456
angles: 67.85 67.85 67.85
Closest atoms and distances in Å follow each position.
Fractional coordinates of all 14 atoms:
Ca 0.1662 0.1662 0.1662  6 Bi 3.25-3.28
Ca 0.8338 0.8338 0.8338  6 Bi 3.25-3.28
Dy 0.1645 0.6705 0.4145  5 Bi 3.13-3.40
Dy 0.3294 0.5855 0.8355  5 Bi 3.13-3.40
Dy 0.4145 0.1645 0.6705  5 Bi 3.13-3.40
Dy 0.5855 0.8355 0.3295  5 Bi 3.13-3.40
Dy 0.6705 0.4145 0.1645  5 Bi 3.13-3.40
Dy 0.8355 0.3295 0.5855  5 Bi 3.13-3.40
Bi 0.0269 0.4192 0.8014  5 Dy 3.13-3.40, 2 Ca 3.25-3.28
Bi 0.1986 0.9731 0.5808  5 Dy 3.13-3.40, 2 Ca 3.25-3.28
Bi 0.4192 0.8014 0.0269  5 Dy 3.13-3.40, 2 Ca 3.25-3.28
Bi 0.5808 0.1986 0.9731  5 Dy 3.13-3.40, 2 Ca 3.25-3.28
Bi 0.8014 0.0269 0.4192  5 Dy 3.13-3.40, 2 Ca 3.25-3.28
Bi 0.9731 0.5808 0.1986  5 Dy 3.13-3.40, 2 Ca 3.25-3.28

Calculated values
ΔH_f (0 K) = -669 meV/atom
Calculated total energy = -32.14 eV per formula unit
Theoretical density = 8.289 g cm⁻³



## CaDy3Bi2 (PBE-GGA)

Data for CaDy3Bi2 after structural relaxation.

abc: 9.5315 9.5315 10.0411
angles: 113.17 113.17 27.07
Closest atoms and distances in Å follow each position.
Fractional coordinates of all 12 atoms:
Ca 0.1096 0.1096 0.1091  6 Bi 3.29-3.46, 1 Dy 3.68
Ca 0.8904 0.8904 0.8909  6 Bi 3.29-3.46, 1 Dy 3.68
Dy 0.0577 0.0577 0.6742  3 Bi 3.12-3.41, 3 Dy 3.28-3.37
Dy 0.3095 0.3095 0.1141  3 Bi 3.25-3.28, 4 Dy 3.32-3.37
Dy 0.3576 0.3576 0.5183  4 Bi 3.24-3.32
Dy 0.6424 0.6424 0.4817  4 Bi 3.24-3.32
Dy 0.6905 0.6905 0.8859  3 Bi 3.25-3.28, 4 Dy 3.32-3.37
Dy 0.9423 0.9423 0.3258  3 Bi 3.12-3.41, 3 Dy 3.28-3.37
Bi 0.2487 0.2487 0.7116  6 Dy 3.24-3.41, 2 Ca 3.36
Bi 0.4943 0.4943 0.1655  4 Dy 3.12-3.25, 4 Ca 3.29-3.46, 1 Bi 3.41
Bi 0.5057 0.5057 0.8345  4 Dy 3.12-3.25, 4 Ca 3.29-3.46, 1 Bi 3.41
Bi 0.7513 0.7513 0.2884  6 Dy 3.24-3.41, 2 Ca 3.36

Calculated values
ΔH_f (0 K) = -480 meV/atom
Calculated total energy = -26.45 eV per formula unit
Theoretical density = 8.271 g cm⁻³



## CaDy3Er2Bi6 (PBE-GGA)

Data for CaDy3Er2Bi6 after structural relaxation.

abc: 10.0405 10.0405 8.9972
angles: 102.87 102.87 25.78
Closest atoms and distances in Å follow each position.
Fractional coordinates of all 12 atoms:
Ca 0.0000 0.0000 0.0000  6 Bi 3.21-3.23
Dy 0.0000 0.0000 0.5000  6 Bi 3.14-3.19
Dy 0.3355 0.3355 0.1661  6 Bi 3.16-3.20
Dy 0.6645 0.6645 0.8339  6 Bi 3.16-3.20
Er 0.3336 0.3336 0.6681  6 Bi 3.15-3.17
Er 0.6664 0.6664 0.3319  6 Bi 3.15-3.17
Bi 0.1675 0.1675 0.5821  3 Er 3.17, 3 Dy 3.19-3.20
Bi 0.1693 0.1693 0.0867  2 Er 3.15, 3 Dy 3.17-3.18, 1 Ca 3.23
Bi 0.4987 0.4987 0.7438  3 Dy 3.14-3.16, 1 Er 3.15, 2 Ca 3.21
Bi 0.5013 0.5013 0.2562  3 Dy 3.14-3.16, 1 Er 3.15, 2 Ca 3.21
Bi 0.8307 0.8307 0.9133  2 Er 3.15, 3 Dy 3.17-3.18, 1 Ca 3.23
Bi 0.8325 0.8325 0.4179  3 Er 3.17, 3 Dy 3.19-3.20

Calculated values
ΔH_f (0 K) = -812 meV/atom
Calculated total energy = -57.97 eV per formula unit
Theoretical density = 9.148 g cm⁻³



## CaDyEr2Bi4 (PBE-GGA)

Data for CaDyEr2Bi4 after structural relaxation.

abc: 7.8029 4.4604 7.8119
angles: 90.00 109.08 90.00
Closest atoms and distances in Å follow each position.
Fractional coordinates of all 8 atoms:
Ca 0.0000 0.0000 0.0000  6 Bi 3.22
Dy 0.5000 0.5000 0.0000  6 Bi 3.19
Er 0.0000 0.5000 0.5000  6 Bi 3.17
Er 0.5000 0.0000 0.5000  6 Bi 3.13-3.14
Bi 0.2516 0.0000 0.7456  3 Er 3.14-3.17, 2 Dy 3.19, 1 Ca 3.22
Bi 0.2564 0.5000 0.2578  3 Er 3.13-3.17, 1 Dy 3.19, 2 Ca 3.22
Bi 0.7436 0.5000 0.7422  3 Er 3.13-3.17, 1 Dy 3.19, 2 Ca 3.22
Bi 0.7484 0.0000 0.2544  3 Er 3.14-3.17, 2 Dy 3.19, 1 Ca 3.22

Calculated values
ΔH_f (0 K) = -784 meV/atom
Calculated total energy = -37.53 eV per formula unit
Theoretical density = 8.873 g cm⁻³



## CaDy2Er3Bi6 (PBE-GGA)

Data for CaDy2Er3Bi6 after structural relaxation.

abc: 10.0333 10.0333 8.9900
angles: 102.97 102.97 25.77
Closest atoms and distances in Å follow each position.
Fractional coordinates of all 12 atoms:
Ca 0.0000 0.0000 0.0000  6 Bi 3.22-3.23
Dy 0.3338 0.3338 0.6683  6 Bi 3.16-3.19
Dy 0.6662 0.6662 0.3317  6 Bi 3.16-3.19
Er 0.0000 0.0000 0.5000  6 Bi 3.13-3.17
Er 0.3351 0.3351 0.1662  6 Bi 3.14-3.17
Er 0.6649 0.6649 0.8338  6 Bi 3.14-3.17
Bi 0.1666 0.1666 0.5843  3 Er 3.17, 3 Dy 3.18-3.19
Bi 0.1696 0.1696 0.0838  3 Er 3.15-3.16, 2 Dy 3.17, 1 Ca 3.23
Bi 0.5000 0.5000 0.2571  3 Er 3.13-3.14, 1 Dy 3.16, 2 Ca 3.22
Bi 0.5000 0.5000 0.7429  3 Er 3.13-3.14, 1 Dy 3.16, 2 Ca 3.22
Bi 0.8304 0.8304 0.9162  3 Er 3.15-3.16, 2 Dy 3.17, 1 Ca 3.23
Bi 0.8334 0.8334 0.4157  3 Er 3.17, 3 Dy 3.18-3.19

Calculated values
ΔH_f (0 K) = -806 meV/atom
Calculated total energy = -57.86 eV per formula unit
Theoretical density = 9.197 g cm⁻³



## CaDyHo2Bi4 (PBE-GGA)

Data for CaDyHo2Bi4 after structural relaxation.

abc: 7.8170 4.4676 7.8203
angles: 90.00 109.09 90.00
Closest atoms and distances in Å follow each position.
Fractional coordinates of all 8 atoms:
Ca 0.0000 0.0000 0.0000  6 Bi 3.22
Dy 0.5000 0.5000 0.0000  6 Bi 3.19
Ho 0.0000 0.5000 0.5000  6 Bi 3.18
Ho 0.5000 0.0000 0.5000  6 Bi 3.14-3.15
Bi 0.2519 0.0000 0.7467  3 Ho 3.15-3.18, 2 Dy 3.19, 1 Ca 3.22
Bi 0.2560 0.5000 0.2568  3 Ho 3.14-3.18, 1 Dy 3.19, 2 Ca 3.22
Bi 0.7440 0.5000 0.7432  3 Ho 3.14-3.18, 1 Dy 3.19, 2 Ca 3.22
Bi 0.7481 0.0000 0.2533  3 Ho 3.15-3.18, 2 Dy 3.19, 1 Ca 3.22

Calculated values
ΔH_f (0 K) = -795 meV/atom
Calculated total energy = -37.64 eV per formula unit
Theoretical density = 8.804 g cm⁻³



## CaDyInBi (PBE-GGA)

Data for CaDyInBi after structural relaxation.

abc: 7.7580 7.7580 7.7580
angles: 90.00 90.00 90.00
Closest atoms and distances in Å follow each position.
Fractional coordinates of all 16 atoms:
Ca 0.0000 0.0000 0.0000  4 In 3.36, 4 Bi 3.36
Ca 0.0000 0.5000 0.5000  4 In 3.36, 4 Bi 3.36
Ca 0.5000 0.0000 0.5000  4 In 3.36, 4 Bi 3.36
Ca 0.5000 0.5000 0.0000  4 In 3.36, 4 Bi 3.36
Dy 0.0000 0.0000 0.5000  4 In 3.36, 4 Bi 3.36
Dy 0.0000 0.5000 0.0000  4 In 3.36, 4 Bi 3.36
Dy 0.5000 0.0000 0.0000  4 In 3.36, 4 Bi 3.36
Dy 0.5000 0.5000 0.5000  4 In 3.36, 4 Bi 3.36
In 0.2500 0.2500 0.2500  4 Dy 3.36, 4 Ca 3.36
In 0.2500 0.7500 0.7500  4 Dy 3.36, 4 Ca 3.36
In 0.7500 0.2500 0.7500  4 Dy 3.36, 4 Ca 3.36
In 0.7500 0.7500 0.2500  4 Dy 3.36, 4 Ca 3.36
Bi 0.2500 0.2500 0.7500  4 Dy 3.36, 4 Ca 3.36
Bi 0.2500 0.7500 0.2500  4 Dy 3.36, 4 Ca 3.36
Bi 0.7500 0.2500 0.2500  4 Dy 3.36, 4 Ca 3.36
Bi 0.7500 0.7500 0.7500  4 Dy 3.36, 4 Ca 3.36

Calculated values
ΔH_f (0 K) = -470 meV/atom
Calculated total energy = -15.10 eV per formula unit
Theoretical density = 7.488 g cm⁻³



## CaDyBiO2 (PBE-GGA)

Data for CaDyBiO2 after structural relaxation.

abc: 3.9170 3.9170 15.1164
angles: 90.00 90.00 90.00
Closest atoms and distances in Å follow each position.
Fractional coordinates of all 10 atoms:
Ca 0.0000 0.0000 0.0000  4 O 2.24
Ca 0.5000 0.5000 0.5000  4 O 2.24
Dy 0.0000 0.0000 0.3649  4 O 2.17
Dy 0.5000 0.5000 0.8649  4 O 2.17
Bi 0.0000 0.0000 0.6856  4 Dy 3.88, 4 Bi 3.92, 4 Ca 3.94, 4 O 4.15
Bi 0.5000 0.5000 0.1856  4 Dy 3.88, 4 Bi 3.92, 4 Ca 3.94, 4 O 4.15
O 0.0000 0.5000 0.4275  2 Dy 2.17, 2 Ca 2.24
O 0.0000 0.5000 0.9275  2 Dy 2.17, 2 Ca 2.24
O 0.5000 0.0000 0.4275  2 Dy 2.17, 2 Ca 2.24
O 0.5000 0.0000 0.9275  2 Dy 2.17, 2 Ca 2.24

Calculated values
Calculated total energy = -32.15 eV per formula unit
Theoretical density = 6.352 g cm⁻³
Raw formation energy = -54.18 kcal/mol of atoms



## CaDy2BiO6 (PBE-GGA)

Data for CaDy2BiO6 after structural relaxation.

abc: 6.1348 6.1348 6.1348
angles: 57.20 57.20 57.20
Closest atoms and distances in Å follow each position.
Fractional coordinates of all 10 atoms:
Ca 0.0000 0.0000 0.0000  6 O 2.34-2.47
Dy 0.2805 0.2805 0.2805  6 O 2.26-2.36
Dy 0.7811 0.7811 0.7811  6 O 2.24-2.36
Bi 0.4923 0.4923 0.4923  6 O 2.30-2.31
O 0.0966 0.6651 0.4045  2 Dy 2.24-2.36, 1 Bi 2.31, 1 Ca 2.34
O 0.1780 0.5860 0.8924  2 Dy 2.26-2.36, 1 Bi 2.30, 1 Ca 2.47
O 0.4045 0.0966 0.6651  2 Dy 2.24-2.36, 1 Bi 2.31, 1 Ca 2.34
O 0.5860 0.8924 0.1780  2 Dy 2.26-2.36, 1 Bi 2.30, 1 Ca 2.47
O 0.6651 0.4045 0.0966  2 Dy 2.24-2.36, 1 Bi 2.31, 1 Ca 2.34
O 0.8924 0.1780 0.5860  2 Dy 2.26-2.36, 1 Bi 2.30, 1 Ca 2.47

Calculated values
Calculated total energy = -71.51 eV per formula unit
Theoretical density = 7.284 g cm⁻³
Raw formation energy = -61.51 kcal/mol of atoms



## Ca2Dy2Bi2P (PBE-GGA)

Data for Ca2Dy2Bi2P after structural relaxation.

abc: 5.2470 5.2470 16.4520
angles: 90.00 90.00 90.00
Closest atoms and distances in Å follow each position.
Fractional coordinates of all 14 atoms:
Ca 0.0000 0.0000 0.1718  1 P 2.83
Ca 0.0000 0.0000 0.8282  1 P 2.83
Ca 0.5000 0.5000 0.3282  1 P 2.83
Ca 0.5000 0.5000 0.6718  1 P 2.83
Dy 0.0000 0.5000 0.0000  2 P 2.62
Dy 0.0000 0.5000 0.5000  2 P 2.62
Dy 0.5000 0.0000 0.0000  2 P 2.62
Dy 0.5000 0.0000 0.5000  2 P 2.62
Bi 0.0000 0.0000 0.3672  1 Ca 3.21, 4 Dy 3.41
Bi 0.0000 0.0000 0.6328  1 Ca 3.21, 4 Dy 3.41
Bi 0.5000 0.5000 0.1328  1 Ca 3.21, 4 Dy 3.41
Bi 0.5000 0.5000 0.8672  1 Ca 3.21, 4 Dy 3.41
P 0.0000 0.0000 0.0000  4 Dy 2.62, 2 Ca 2.83
P 0.5000 0.5000 0.5000  4 Dy 2.62, 2 Ca 2.83

Calculated values
ΔH_f (0 K) = -933 meV/atom
Calculated total energy = -32.91 eV per formula unit
Theoretical density = 6.262 g cm⁻³



## CaDy2PaBi4 (PBE-GGA)

Data for CaDy2PaBi4 after structural relaxation.

abc: 7.7954 4.4973 7.8041
angles: 90.00 108.98 90.00
Closest atoms and distances in Å follow each position.
Fractional coordinates of all 8 atoms:
Ca 0.0000 0.0000 0.0000  6 Bi 3.20-3.22
Dy 0.5000 0.0000 0.5000  6 Bi 3.15-3.16
Dy 0.5000 0.5000 0.0000  6 Bi 3.19-3.20
Pa 0.0000 0.5000 0.5000  6 Bi 3.14-3.19
Bi 0.2516 0.0000 0.7480  3 Dy 3.15-3.19, 2 Pa 3.19, 1 Ca 3.20
Bi 0.2519 0.5000 0.2566  1 Pa 3.14, 3 Dy 3.16-3.20, 2 Ca 3.22
Bi 0.7484 0.0000 0.2520  3 Dy 3.15-3.19, 2 Pa 3.19, 1 Ca 3.20
Bi 0.7481 0.5000 0.7434  1 Pa 3.14, 3 Dy 3.16-3.20, 2 Ca 3.22

Calculated values
ΔH_f (0 K) = -653 meV/atom
Calculated total energy = -41.45 eV per formula unit
Theoretical density = 9.191 g cm⁻³



Number 1 is which compound? CaDy3Bi3